[1]
Computed, not measured: a relaxed LaZn2Au2 crystal at the PBE-GGA level of DFT.

For the total energy, the calculation gives -3.14 eV per atom. The value obtained for the formation energy is -0.338 eV per atom. The calculation puts the energy above the most stable polymorph in this dataset at 227 meV per atom.

abc: 8.0525 8.0525 3.0239
angles: 90.00 90.00 90.00
Last column: nearest neighbours and their distance in Å.
Space group P4/mbm (No. 127)
Asymmetric unit:
La 0.0000 0.0000 0.0000 x2  2 La 3.02, 4 Zn 3.23, 8 Au 3.32
Zn 0.1158 0.3842 0.0000 x4  1 Zn 2.64, 6 Au 2.78-2.86
Au 0.1792 0.6792 0.5000 x4  6 Zn 2.78-2.86, 2 Au 3.02

=====

[2]
Computed, not measured: a relaxed LaZn2Au6 crystal at the PBE-GGA level of DFT.

For the total energy, the calculation gives -3.17 eV per atom. The value obtained for the formation energy is -0.158 eV per atom.

abc: 11.8852 11.8852 11.8852
angles: 90.00 90.00 90.00
Last column: nearest neighbours and their distance in Å.
Space group Fd-3m (No. 227, origin choice 2)
Asymmetric unit:
La 0.1250 0.1250 0.1250 x8  6 Au 3.00
Zn 0.0000 0.0000 0.5000 x16  6 Au 2.56
Au 0.1230 0.3750 0.8750 x48  2 Zn 2.56